# 1
Here is an optimized crystal structure of KTaAl2 from the Alexandria database. Energies are from PBE-GGA.

Cell and atoms, written as CIF:
```
data_KTaAl2
_space_group_name_H-M_alt 'I m m m'
_space_group_IT_number 71
_space_group_name_Hall '-I 2 2'
_cell_length_a 2.906
_cell_length_b 6.104
_cell_length_c 11.144
_cell_angle_alpha 90.00
_cell_angle_beta 90.00
_cell_angle_gamma 90.00
loop_
_atom_site_label
_atom_site_fract_x
_atom_site_fract_y
_atom_site_fract_z
K1 0.000 0.000 0.000
Ta1 0.000 0.000 0.500
Al1 0.000 0.500 0.210
```

## Properties
ΔE to the lowest computed polymorph = 645 meV per atom
ΔE_f = 0.845 eV per atom
Crystal system = orthorhombic



# 2
Here is an optimized crystal structure of KTa2Al from the Alexandria database. Energies are from PBE-GGA.

Cell and atoms, written as CIF:
```
data_KTa2Al
_space_group_name_H-M_alt 'P 4 m m'
_space_group_IT_number 99
_space_group_name_Hall 'P 4 -2'
_cell_length_a 2.885
_cell_length_b 2.885
_cell_length_c 10.568
_cell_angle_alpha 90.00
_cell_angle_beta 90.00
_cell_angle_gamma 90.00
loop_
_atom_site_label
_atom_site_fract_x
_atom_site_fract_y
_atom_site_fract_z
K1 0.000 0.000 0.000
Ta1 0.000 0.000 0.529
Ta2 0.500 0.500 0.320
Al1 0.500 0.500 0.726
```

## Properties
ΔE_f = 0.456 eV per atom
Crystal system = tetragonal



# 3
Here is an optimized crystal structure of KTaAl2 from the Alexandria database. Energies are from PBE-GGA.

Cell and atoms, written as CIF:
```
data_KTaAl2
_space_group_name_H-M_alt 'P 4/m m m'
_space_group_IT_number 123
_space_group_name_Hall '-P 4 2'
_cell_length_a 3.433
_cell_length_b 3.433
_cell_length_c 8.007
_cell_angle_alpha 90.00
_cell_angle_beta 90.00
_cell_angle_gamma 90.00
loop_
_atom_site_label
_atom_site_fract_x
_atom_site_fract_y
_atom_site_fract_z
K1 0.000 0.000 0.000
Ta1 0.000 0.000 0.500
Al1 0.500 0.500 0.335
```

## Properties
ΔE to the lowest computed polymorph = 87 meV per atom
ΔE_f = 0.286 eV per atom
Crystal system = tetragonal



# 4
Here is an optimized crystal structure of KTa4Al from the Alexandria database. Energies are from PBE-GGA.

Cell and atoms, written as CIF:
```
data_KTa4Al
_space_group_name_H-M_alt 'F -4 3 m'
_space_group_IT_number 216
_space_group_name_Hall 'F -4 2 3'
_cell_length_a 8.005
_cell_length_b 8.005
_cell_length_c 8.005
_cell_angle_alpha 90.00
_cell_angle_beta 90.00
_cell_angle_gamma 90.00
loop_
_atom_site_label
_atom_site_fract_x
_atom_site_fract_y
_atom_site_fract_z
K1 0.000 0.000 0.000
Ta1 0.127 0.127 0.627
Al1 0.250 0.250 0.250
```

## Properties
ΔE_f = 0.949 eV per atom
Crystal system = cubic



What is the ΔE_f in the second record?
0.456 eV per atom